Entry 1:
# LiAl4Zn2O8, optimized geometry, DFT GGA-PBE
data_LiAl4Zn2O8
_cell_length_a 9.869
_cell_length_b 5.811
_cell_length_c 5.952
_cell_angle_alpha 90.00
_cell_angle_beta 121.86
_cell_angle_gamma 90.00
_space_group_name_H-M_alt 'C 1 2/m 1'
_space_group_IT_number 12
loop_
_space_group_symop_operation_xyz
'x,y,z'
'-x,-y,-z'
'-x,y,-z'
'x,-y,z'
'x+1/2,y+1/2,z'
'-x+1/2,-y+1/2,-z'
'-x+1/2,y+1/2,-z'
'x+1/2,-y+1/2,z'
loop_
_atom_site_label
_atom_site_type_symbol
_atom_site_fract_x
_atom_site_fract_y
_atom_site_fract_z
Li1 Li 0.000 0.000 0.000
Al1 Al 0.000 0.500 0.000
Al2 Al 0.000 0.500 0.500
Al3 Al 0.137 0.000 0.450
Zn1 Zn 0.250 0.250 0.000
O1 O 0.005 0.266 0.253
O2 O 0.221 0.500 0.200
O3 O 0.238 0.500 0.702
# E above lowest polymorph	2.2	kJ per mole of atoms
# raw formation energy	-3101	kJ/mol of formula units
# crystal system	monoclinic

Entry 2:
# LiZr2AlO, optimized geometry, DFT GGA-PBE
data_LiZr2AlO
_cell_length_a 4.758
_cell_length_b 4.758
_cell_length_c 4.045
_cell_angle_alpha 90.00
_cell_angle_beta 90.00
_cell_angle_gamma 90.00
_space_group_name_H-M_alt 'P 4/m m m'
_space_group_IT_number 123
_space_group_name_Hall '-P 4 2'
loop_
_atom_site_label
_atom_site_type_symbol
_atom_site_fract_x
_atom_site_fract_y
_atom_site_fract_z
Li1 Li 0.000 0.000 0.000
Zr1 Zr 0.000 0.500 0.000
Al1 Al 0.000 0.000 0.500
O1 O 0.500 0.500 0.500
# E above lowest polymorph	180.5	kJ per mole of atoms
# raw formation energy	316	kJ/mol of formula units
# crystal system	tetragonal

Entry 3:
# LiZrAlO4, optimized geometry, DFT GGA-PBE
data_LiZrAlO4
_cell_length_a 5.720
_cell_length_b 8.665
_cell_length_c 6.533
_cell_angle_alpha 90.00
_cell_angle_beta 90.00
_cell_angle_gamma 90.00
_space_group_name_H-M_alt 'C m c m'
_space_group_IT_number 63
_space_group_name_Hall '-C 2c 2'
loop_
_atom_site_label
_atom_site_type_symbol
_atom_site_fract_x
_atom_site_fract_y
_atom_site_fract_z
Li1 Li 0.000 0.168 0.250
Zr1 Zr 0.000 0.500 0.000
Al1 Al 0.000 0.151 0.750
O1 O 0.000 0.263 0.527
O2 O 0.248 0.018 0.750
# raw formation energy	-1945	kJ/mol of formula units
# crystal system	orthorhombic

Entry 4:
# LiZr2AlO, optimized geometry, DFT GGA-PBE
data_LiZr2AlO
_cell_length_a 4.454
_cell_length_b 4.454
_cell_length_c 4.016
_cell_angle_alpha 90.00
_cell_angle_beta 90.00
_cell_angle_gamma 90.00
_space_group_name_H-M_alt 'P 4/m m m'
_space_group_IT_number 123
_space_group_name_Hall '-P 4 2'
loop_
_atom_site_label
_atom_site_type_symbol
_atom_site_fract_x
_atom_site_fract_y
_atom_site_fract_z
Li1 Li 0.000 0.000 0.000
Zr1 Zr 0.000 0.500 0.500
Al1 Al 0.500 0.500 0.000
O1 O 0.000 0.000 0.500
# E above lowest polymorph	0.0	kJ per mole of atoms
# raw formation energy	-587	kJ/mol of formula units
# crystal system	tetragonal

Entry 5:
# LiZr2AlO6, optimized geometry, DFT GGA-PBE
data_LiZr2AlO6
_cell_length_a 4.904
_cell_length_b 4.904
_cell_length_c 4.818
_cell_angle_alpha 90.00
_cell_angle_beta 90.00
_cell_angle_gamma 90.00
_space_group_name_H-M_alt 'P 4 m m'
_space_group_IT_number 99
loop_
_space_group_symop_operation_xyz
'x,y,z'
'-y,x,z'
'-x,-y,z'
'y,-x,z'
'-x,y,z'
'y,x,z'
'x,-y,z'
'-y,-x,z'
loop_
_atom_site_label
_atom_site_type_symbol
_atom_site_fract_x
_atom_site_fract_y
_atom_site_fract_z
Li1 Li 0.000 0.000 0.000
Zr1 Zr 0.000 0.500 0.415
Al1 Al 0.500 0.500 0.024
O1 O 0.000 0.000 0.603
O2 O 0.257 0.257 0.172
O3 O 0.500 0.500 0.653
# raw formation energy	-2596	kJ/mol of formula units
# crystal system	tetragonal

Entry 6:
# LiAlOs2, optimized geometry, DFT GGA-PBE
data_LiAlOs2
_cell_length_a 2.657
_cell_length_b 2.657
_cell_length_c 8.094
_cell_angle_alpha 90.00
_cell_angle_beta 90.00
_cell_angle_gamma 90.00
_space_group_name_H-M_alt 'P 4/m m m'
_space_group_IT_number 123
_space_group_name_Hall '-P 4 2'
loop_
_atom_site_label
_atom_site_type_symbol
_atom_site_fract_x
_atom_site_fract_y
_atom_site_fract_z
Li1 Li 0.000 0.000 0.000
Al1 Al 0.000 0.000 0.500
Os1 Os 0.500 0.500 0.263
# formation energy	0.2461	eV per atom
# crystal system	tetragonal

no.,total DFT energy (no corrections) (eV/f.u.)
1,-91.2
2,-24.4
3,-54.2
4,-33.8
5,-79.4
6,-27.1